Computed, not measured: a relaxed structure of Sr3Tl2In at the PBE level of DFT.

The density of states at the Fermi level comes out at 4.75 states/eV/f.u. The value obtained for the formation energy from the elements is -428 meV/atom. Its final energy is -30.2 eV per cell.

The structure belongs to space group Cmmm (No. 65); the cell edges are 5.7918, 17.4464 and 4.0648 Å and the angles 90.00°, 90.00° and 90.00°. The asymmetric unit holds Sr at (0.0000, 0.0000, 0.0000), Sr at (0.0000, 0.3337, 0.0000), Tl at (0.0000, 0.1660, 0.5000) and In at (0.0000, 0.5000, 0.5000).

---

Computed, not measured: a relaxed structure of Sr2Tl4In3 at the PBE level of DFT.

The density of states at the Fermi level comes out at 4.22 states/eV/f.u. The value obtained for the formation energy from the elements is -223 meV/atom. Its final energy is -92.2 eV per cell.

The structure belongs to space group Cmce (No. 64); the cell edges are 6.8465, 17.5395 and 9.3201 Å and the angles 90.00°, 90.00° and 90.00°. The asymmetric unit holds Sr at (0.0000, 0.1133, 0.0813), Tl at (0.0000, 0.1784, 0.4673), Tl at (0.2500, 0.0517, 0.7500), In at (0.0000, 0.0000, 0.5000) and In at (0.2500, 0.2236, 0.7500).

---

Computed, not measured: a relaxed structure of SrTl8In2 at the PBE level of DFT.

The density of states at the Fermi level comes out at 4.86 states/eV/f.u. The value obtained for the formation energy from the elements is -25 meV/atom. Its final energy is -52.7 eV per cell.

The structure belongs to space group C2/m (No. 12); the cell edges are 8.7052, 17.0174 and 6.2255 Å and the angles 90.00°, 130.05° and 90.00°. The asymmetric unit holds Sr at (0.0000, 0.0000, 0.0000), Tl at (0.0000, 0.2056, 0.0000), Tl at (0.0335, 0.5000, 0.2873), Tl at (0.2318, 0.1345, 0.7690) and In at (0.0000, 0.3206, 0.5000).

---

The lowest formation energy from the elements belongs to which entry? Sr3Tl2In